Here is a relaxed structure of KCuSnO3 from the Alexandria database. Energies are from PBE.

For the uncorrected formation energy, the calculation gives -1225 meV per atom. For the calculated density, the calculation gives 4.640 g/cm³.

Lattice parameters (Å, degrees): 3.3129 14.1671 8.2151 90.00 90.00 90.00
Space group Cmcm (No. 63)
Asymmetric unit:
K (0.0000, 0.1875, 0.2500)
Cu (0.0000, 0.1092, 0.7500)
Sn (0.0000, 0.5000, 0.0000)
O (0.0000, 0.0979, 0.5261)
O (0.0000, 0.4656, 0.7500)

***

Here is a relaxed structure of KSr2CuO4 from the Alexandria database. Energies are from PBE.

For the uncorrected formation energy, the calculation gives -1747 meV per atom. For the calculated density, the calculation gives 3.911 g/cm³.

Lattice parameters (Å, degrees): 3.6731 12.6467 12.4992 90.00 90.00 90.00
Space group Cmcm (No. 63)
Asymmetric unit:
K (0.0000, 0.0977, 0.2500)
Sr (0.0000, 0.3694, 0.0437)
Cu (0.0000, 0.2038, 0.7500)
O (0.0000, 0.0000, 0.0000)
O (0.0000, 0.2518, 0.6111)
O (0.0000, 0.3465, 0.2500)

***

Here is a relaxed structure of KSrCuO2 from the Alexandria database. Energies are from PBE.

For the uncorrected formation energy, the calculation gives -1580 meV per atom. For the calculated density, the calculation gives 3.336 g/cm³.

Lattice parameters (Å, degrees): 5.6575 5.5493 7.0473 90.00 90.05 90.00
Space group P2/c (No. 13)
Asymmetric unit:
K (0.0000, 0.0010, 0.2500)
Sr (0.5000, 0.5002, 0.2500)
Cu (0.5000, 0.0000, 0.0000)
O (0.3045, 0.2604, 0.0000)

***

Here is a relaxed structure of KSrCuO3 from the Alexandria database. Energies are from PBE.

For the uncorrected formation energy, the calculation gives -1519 meV per atom. For the calculated density, the calculation gives 4.175 g/cm³.

Lattice parameters (Å, degrees): 13.3585 3.8536 7.6663 90.00 106.18 90.00
Space group C2/m (No. 12)
Asymmetric unit:
K (0.1470, 0.0000, 0.0676)
Sr (0.1526, 0.0000, 0.5819)
Cu (0.0069, 0.5000, 0.2691)
O (0.0041, 0.0000, 0.2889)
O (0.1377, 0.5000, 0.7968)
O (0.1523, 0.5000, 0.3492)

***

Here is a relaxed structure of KTa4Cu3O12 from the Alexandria database. Energies are from PBE.

For the uncorrected formation energy, the calculation gives -2144 meV per atom. For the calculated density, the calculation gives 8.271 g/cm³.

Lattice parameters (Å, degrees): 7.7193 7.7193 7.7193 90.00 90.00 90.00
Space group Im-3 (No. 204)
Asymmetric unit:
K (0.0000, 0.0000, 0.0000)
Ta (0.2500, 0.2500, 0.2500)
Cu (0.0000, 0.0000, 0.5000)
O (0.0000, 0.2985, 0.1909)

***

Here is a relaxed structure of KTa3Cu4O12 from the Alexandria database. Energies are from PBE.

For the uncorrected formation energy, the calculation gives -1759 meV per atom. For the calculated density, the calculation gives 6.155 g/cm³.

Lattice parameters (Å, degrees): 11.1436 11.1436 7.7381 90.00 90.00 120.00
Space group R32 (No. 155, hexagonal axes)
Asymmetric unit:
K (0.0000, 0.0000, 0.0000)
Ta (0.0000, 0.5576, 0.0000)
Cu (0.0000, 0.0000, 0.5000)
Cu (0.0000, 0.4392, 0.5000)
O (0.0000, 0.6058, 0.5000)
O (0.0000, 0.8288, 0.5000)
O (0.0608, 0.2303, 0.2016)